A relaxed GaFeSb2Pb crystal, computed with PBE.

```
data_GaFeSb2Pb
_symmetry_space_group_name_H-M 'P 4/m m m'
_symmetry_Int_Tables_number 123
_symmetry_space_group_name_Hall '-P 4 2'
_cell_length_a 5.030
_cell_length_b 5.030
_cell_length_c 4.594
_cell_angle_alpha 90.00
_cell_angle_beta 90.00
_cell_angle_gamma 90.00
loop_
_atom_site_label
_atom_site_type_symbol
_atom_site_fract_x
_atom_site_fract_y
_atom_site_fract_z
Ga1 Ga 0.000 0.000 0.000
Fe1 Fe 0.000 0.000 0.500
Sb1 Sb 0.000 0.500 0.500
Pb1 Pb 0.500 0.500 0.000
```

A relaxed SiBiSbSe2 crystal, computed with PBE.

```
data_SiBiSbSe2
_symmetry_space_group_name_H-M 'P 4/m m m'
_symmetry_Int_Tables_number 123
_symmetry_space_group_name_Hall '-P 4 2'
_cell_length_a 5.219
_cell_length_b 5.219
_cell_length_c 5.967
_cell_angle_alpha 90.00
_cell_angle_beta 90.00
_cell_angle_gamma 90.00
loop_
_atom_site_label
_atom_site_type_symbol
_atom_site_fract_x
_atom_site_fract_y
_atom_site_fract_z
Si1 Si 0.000 0.000 0.000
Bi1 Bi 0.500 0.500 0.000
Sb1 Sb 0.500 0.500 0.500
Se1 Se 0.000 0.500 0.500
```

# Na2IrO3 PBE relaxed
data_Na2IrO3
_symmetry_space_group_name_H-M 'C 1 2/c 1'
_symmetry_Int_Tables_number 15
_symmetry_space_group_name_Hall '-C 2yc'
_cell_length_a 5.734
_cell_length_b 9.377
_cell_length_c 5.482
_cell_angle_alpha 90.00
_cell_angle_beta 112.21
_cell_angle_gamma 90.00
loop_
_atom_site_label
_atom_site_type_symbol
_atom_site_fract_x
_atom_site_fract_y
_atom_site_fract_z
Na1 Na 0.000 0.082 0.250
Na2 Na 0.000 0.239 0.750
Ir1 Ir 0.000 0.411 0.250
O1 O 0.194 0.433 0.001
O2 O 0.250 0.250 0.500
# Energy relative to the lowest polymorph listed for this composition ... 103 meV per atom

# Zn2GaH PBE relaxed
data_Zn2GaH
_symmetry_space_group_name_H-M 'R -3 m'
_symmetry_Int_Tables_number 166
_symmetry_space_group_name_Hall '-R 3 2"'
_cell_length_a 2.8254
_cell_length_b 2.8254
_cell_length_c 23.1314
_cell_angle_alpha 90.00
_cell_angle_beta 90.00
_cell_angle_gamma 120.00
loop_
_atom_site_label
_atom_site_type_symbol
_atom_site_fract_x
_atom_site_fract_y
_atom_site_fract_z
Zn1 Zn 0.0000 0.0000 0.2304
Ga1 Ga 0.0000 0.0000 0.0000
H1 H 0.0000 0.0000 0.5000
# Energy relative to the lowest polymorph listed for this composition ... 4 meV per atom

# GaAgAsAuCl PBE relaxed
data_GaAgAsAuCl
_symmetry_space_group_name_H-M 'P 1'
_symmetry_Int_Tables_number 1
_symmetry_space_group_name_Hall 'P 1'
_cell_length_a 3.331
_cell_length_b 4.875
_cell_length_c 7.965
_cell_angle_alpha 101.01
_cell_angle_beta 90.83
_cell_angle_gamma 109.89
loop_
_atom_site_label
_atom_site_type_symbol
_atom_site_fract_x
_atom_site_fract_y
_atom_site_fract_z
Ga1 Ga 0.000 0.000 0.000
Ag1 Ag 0.904 0.782 0.413
As1 As 0.170 0.320 0.323
Au1 Au 0.325 0.644 0.091
Cl1 Cl 0.037 0.104 0.734
# Energy relative to the lowest polymorph listed for this composition ... 45 meV per atom

A relaxed Li3Cd2Pb2 crystal, computed with PBE.

```
data_Li3Cd2Pb2
_symmetry_space_group_name_H-M 'P -1'
_symmetry_Int_Tables_number 2
_symmetry_space_group_name_Hall '-P 1'
_cell_length_a 4.922
_cell_length_b 5.841
_cell_length_c 5.958
_cell_angle_alpha 93.58
_cell_angle_beta 112.45
_cell_angle_gamma 91.20
loop_
_atom_site_label
_atom_site_type_symbol
_atom_site_fract_x
_atom_site_fract_y
_atom_site_fract_z
Li1 Li 0.000 0.000 0.000
Li2 Li 0.277 0.168 0.553
Cd1 Cd 0.134 0.606 0.272
Pb1 Pb 0.421 0.734 0.839
```

A relaxed NiHgIr2Au crystal, computed with PBE.

```
data_NiHgIr2Au
_symmetry_space_group_name_H-M 'P 4/m m m'
_symmetry_Int_Tables_number 123
_symmetry_space_group_name_Hall '-P 4 2'
_cell_length_a 4.517
_cell_length_b 4.517
_cell_length_c 4.766
_cell_angle_alpha 90.00
_cell_angle_beta 90.00
_cell_angle_gamma 90.00
loop_
_atom_site_label
_atom_site_type_symbol
_atom_site_fract_x
_atom_site_fract_y
_atom_site_fract_z
Ni1 Ni 0.000 0.000 0.000
Hg1 Hg 0.000 0.000 0.500
Ir1 Ir 0.000 0.500 0.000
Au1 Au 0.500 0.500 0.500
```

# ZnCuI2N PBE relaxed
data_ZnCuI2N
_symmetry_space_group_name_H-M 'P 4/m m m'
_symmetry_Int_Tables_number 123
_symmetry_space_group_name_Hall '-P 4 2'
_cell_length_a 5.604
_cell_length_b 5.604
_cell_length_c 3.735
_cell_angle_alpha 90.00
_cell_angle_beta 90.00
_cell_angle_gamma 90.00
loop_
_atom_site_label
_atom_site_type_symbol
_atom_site_fract_x
_atom_site_fract_y
_atom_site_fract_z
Zn1 Zn 0.000 0.000 0.000
Cu1 Cu 0.500 0.500 0.500
I1 I 0.000 0.500 0.500
N1 N 0.500 0.500 0.000
# Energy relative to the lowest polymorph listed for this composition ... 0 meV per atom

A relaxed Y6GaSe2S3 crystal, computed with PBE.

```
data_Y6GaSe2S3
_symmetry_space_group_name_H-M 'C 1 2/m 1'
_symmetry_Int_Tables_number 12
_symmetry_space_group_name_Hall '-C 2y'
_cell_length_a 7.005
_cell_length_b 12.079
_cell_length_c 6.945
_cell_angle_alpha 90.00
_cell_angle_beta 109.52
_cell_angle_gamma 90.00
loop_
_atom_site_label
_atom_site_type_symbol
_atom_site_fract_x
_atom_site_fract_y
_atom_site_fract_z
Y1 Y 0.238 0.000 0.241
Y2 Y 0.248 0.162 0.759
Ga1 Ga 0.000 0.000 0.500
Se1 Se 0.000 0.334 0.500
S1 S 0.000 0.170 0.000
S2 S 0.000 0.500 0.000
```

A relaxed RbNi2C crystal, computed with PBE.

```
data_RbNi2C
_symmetry_space_group_name_H-M 'I 41/a m d'
_symmetry_Int_Tables_number 141
_cell_length_a 6.013
_cell_length_b 6.013
_cell_length_c 8.232
_cell_angle_alpha 90.00
_cell_angle_beta 90.00
_cell_angle_gamma 90.00
loop_
_symmetry_equiv_pos_as_xyz
'x,y,z'
'-x,-y,-z'
'-y+1/4,x+3/4,z+1/4'
'y+1/4,-x+3/4,-z+1/4'
'-x+1/2,-y,z+1/2'
'x+1/2,y,-z+1/2'
'y+1/4,-x+1/4,z+3/4'
'-y+1/4,x+1/4,-z+3/4'
'x,-y,-z'
'-x,y,z'
'-y+1/4,-x+1/4,-z+3/4'
'y+1/4,x+1/4,z+3/4'
'-x+1/2,y,-z+1/2'
'x+1/2,-y,z+1/2'
'y+1/4,x+3/4,-z+1/4'
'-y+1/4,-x+3/4,z+1/4'
'x+1/2,y+1/2,z+1/2'
'-x+1/2,-y+1/2,-z+1/2'
'-y+3/4,x+1/4,z+3/4'
'y+3/4,-x+1/4,-z+3/4'
'-x,-y+1/2,z'
'x,y+1/2,-z'
'y+3/4,-x+3/4,z+1/4'
'-y+3/4,x+3/4,-z+1/4'
'x+1/2,-y+1/2,-z+1/2'
'-x+1/2,y+1/2,z+1/2'
'-y+3/4,-x+3/4,-z+1/4'
'y+3/4,x+3/4,z+1/4'
'-x,y+1/2,-z'
'x,-y+1/2,z'
'y+3/4,x+1/4,-z+3/4'
'-y+3/4,-x+1/4,z+3/4'
loop_
_atom_site_label
_atom_site_type_symbol
_atom_site_fract_x
_atom_site_fract_y
_atom_site_fract_z
Rb1 Rb 0.000 0.250 0.375
Ni1 Ni 0.000 0.000 0.000
C1 C 0.000 0.250 0.875
```

A relaxed Tb4AgTe crystal, computed with PBE.

```
data_Tb4AgTe
_symmetry_space_group_name_H-M 'P 1 21/m 1'
_symmetry_Int_Tables_number 11
_symmetry_space_group_name_Hall '-P 2yb'
_cell_length_a 5.917
_cell_length_b 8.455
_cell_length_c 7.894
_cell_angle_alpha 90.00
_cell_angle_beta 106.27
_cell_angle_gamma 90.00
loop_
_atom_site_label
_atom_site_type_symbol
_atom_site_fract_x
_atom_site_fract_y
_atom_site_fract_z
Tb1 Tb 0.005 0.051 0.240
Tb2 Tb 0.412 0.250 0.011
Tb3 Tb 0.424 0.750 0.509
Ag1 Ag 0.152 0.750 0.093
Te1 Te 0.118 0.250 0.584
```

A relaxed ZnHg2Ir crystal, computed with PBE.

```
data_ZnHg2Ir
_symmetry_space_group_name_H-M 'P m m m'
_symmetry_Int_Tables_number 47
_symmetry_space_group_name_Hall '-P 2 2'
_cell_length_a 3.212
_cell_length_b 4.735
_cell_length_c 4.759
_cell_angle_alpha 90.00
_cell_angle_beta 90.00
_cell_angle_gamma 90.00
loop_
_atom_site_label
_atom_site_type_symbol
_atom_site_fract_x
_atom_site_fract_y
_atom_site_fract_z
Zn1 Zn 0.000 0.000 0.000
Hg1 Hg 0.000 0.500 0.500
Hg2 Hg 0.500 0.500 0.000
Ir1 Ir 0.500 0.000 0.500
```

# CaS2NCl PBE relaxed
data_CaS2NCl
_symmetry_space_group_name_H-M 'P 4/m m m'
_symmetry_Int_Tables_number 123
_symmetry_space_group_name_Hall '-P 4 2'
_cell_length_a 3.965
_cell_length_b 3.965
_cell_length_c 5.855
_cell_angle_alpha 90.00
_cell_angle_beta 90.00
_cell_angle_gamma 90.00
loop_
_atom_site_label
_atom_site_type_symbol
_atom_site_fract_x
_atom_site_fract_y
_atom_site_fract_z
Ca1 Ca 0.000 0.000 0.000
S1 S 0.000 0.500 0.500
N1 N 0.500 0.500 0.500
Cl1 Cl 0.500 0.500 0.000
# Energy relative to the lowest polymorph listed for this composition ... 0 meV per atom

Computed values of uncorrected energy (unit: eV per cell) for the preceding records, in sequence: -22.37, -16.12, -131.62, -23.37, -16.33, -16.18, -20.85, -13.15, -163.52, -79.43, -52.50, -9.30, -20.89.